(1)
## Hf2InBr (PBE)

Data for a relaxed structure of Hf2InBr.

Cell and atoms, written as POSCAR:
```
Hf2InBr
1.0
7.0217 0.0000 0.0000
0.0000 7.0217 0.0000
0.0000 0.0000 7.0217
Hf In Br
8 4 4
direct
0.2500 0.2500 0.2500
0.2500 0.2500 0.7500
0.2500 0.7500 0.2500
0.2500 0.7500 0.7500
0.7500 0.2500 0.2500
0.7500 0.2500 0.7500
0.7500 0.7500 0.2500
0.7500 0.7500 0.7500
0.0000 0.0000 0.0000
0.0000 0.5000 0.5000
0.5000 0.0000 0.5000
0.5000 0.5000 0.0000
0.0000 0.0000 0.5000
0.0000 0.5000 0.0000
0.5000 0.0000 0.0000
0.5000 0.5000 0.5000
```

Properties
Crystal system = cubic
Uncorrected formation energy = 0.11 eV/atom
DOS at the Fermi energy = 1.4604 states/eV per atom


(2)
## GeTeI (PBE)

Data for a relaxed structure of GeTeI.

Cell and atoms, written as POSCAR:
```
GeTeI
1.0
5.0378 0.0000 0.0000
0.0313 6.6430 0.0000
0.0466 0.0026 7.8963
Ge Te I
2 2 2
direct
0.0000 0.0000 0.0000
0.4994 0.5001 0.0757
0.0006 0.4060 0.9428
0.4988 0.9060 0.1330
0.0053 0.8881 0.6833
0.4984 0.3878 0.3923
```

Properties
Crystal system = triclinic
Uncorrected formation energy = -0.08 eV/atom
DOS at the Fermi energy = 0.3478 states/eV per atom


(3)
## PuMgSbPt (PBE)

Data for a relaxed structure of PuMgSbPt.

Cell and atoms, written as POSCAR:
```
PuMgSbPt
1.0
7.0607 0.0000 0.0000
0.0000 7.0607 0.0000
0.0000 0.0000 7.0607
Pu Mg Sb Pt
4 4 4 4
direct
0.0000 0.0000 0.0000
0.0000 0.5000 0.5000
0.5000 0.0000 0.5000
0.5000 0.5000 0.0000
0.0000 0.0000 0.5000
0.0000 0.5000 0.0000
0.5000 0.0000 0.0000
0.5000 0.5000 0.5000
0.2500 0.2500 0.2500
0.2500 0.7500 0.7500
0.7500 0.2500 0.7500
0.7500 0.7500 0.2500
0.2500 0.2500 0.7500
0.2500 0.7500 0.2500
0.7500 0.2500 0.2500
0.7500 0.7500 0.7500
```

Properties
Crystal system = cubic
Uncorrected formation energy = -0.54 eV/atom
DOS at the Fermi energy = 2.9100 states/eV per atom


(4)
## Al2TlPt (PBE)

Data for a relaxed structure of Al2TlPt.

Cell and atoms, written as POSCAR:
```
Al2TlPt
1.0
4.2731 0.0000 0.0000
-2.1365 3.7006 0.0000
0.0000 0.0000 16.8201
Al Tl Pt
6 3 3
direct
0.0000 0.0000 0.2031
0.0000 0.0000 0.7969
0.3333 0.6667 0.4636
0.3333 0.6667 0.8698
0.6667 0.3333 0.1302
0.6667 0.3333 0.5364
0.0000 0.0000 0.0000
0.3333 0.6667 0.6667
0.6667 0.3333 0.3333
0.0000 0.0000 0.5000
0.3333 0.6667 0.1667
0.6667 0.3333 0.8333
```

Properties
Crystal system = trigonal
DOS at the Fermi energy = 0.5248 states/eV per atom
Energy of formation from the pure elements = -0.34 eV/atom


(5)
## Er7RuSe5 (PBE)

Data for a relaxed structure of Er7RuSe5.

Cell and atoms, written as POSCAR:
```
Er7RuSe5
1.0
1.9529 -6.6561 0.0000
1.9529 6.6561 0.0000
0.0000 0.0000 24.3646
Er Ru Se
14 2 10
direct
0.0443 0.9557 0.5000
0.1328 0.8672 0.2175
0.1458 0.8542 0.7908
0.2861 0.7139 0.4342
0.3059 0.6941 0.5685
0.3925 0.6075 0.1209
0.4196 0.5804 0.8659
0.5804 0.4196 0.3659
0.6075 0.3925 0.6209
0.6941 0.3059 0.0685
0.7139 0.2861 0.9342
0.8542 0.1458 0.2908
0.8672 0.1328 0.7175
0.9557 0.0443 0.0000
0.3096 0.6904 0.0107
0.6904 0.3096 0.5107
0.0478 0.9522 0.1118
0.0641 0.9359 0.8961
0.2145 0.7855 0.3240
0.2273 0.7727 0.6807
0.4919 0.5081 0.2521
0.5081 0.4919 0.7521
0.7727 0.2273 0.1807
0.7855 0.2145 0.8240
0.9359 0.0641 0.3961
0.9522 0.0478 0.6118
```

Properties
Crystal system = orthorhombic
Uncorrected formation energy = -1.40 eV/atom
DOS at the Fermi energy = 0.4567 states/eV per atom


(6)
## Na3Sm2IrO6 (PBE)

Data for a relaxed structure of Na3Sm2IrO6.

Cell and atoms, written as POSCAR:
```
Na3Sm2IrO6
1.0
2.8943 -4.9956 0.0000
2.8943 4.9956 0.0000
-1.8593 0.0000 5.6796
Na Sm Ir O
3 2 1 6
direct
0.0000 0.0000 0.0000
0.3477 0.6523 0.0000
0.6523 0.3477 0.0000
0.1681 0.8319 0.5000
0.8319 0.1681 0.5000
0.5000 0.5000 0.5000
0.1180 0.4267 0.2791
0.2582 0.2582 0.7152
0.4267 0.1180 0.2791
0.5733 0.8820 0.7209
0.7418 0.7418 0.2848
0.8820 0.5733 0.7209
```

Properties
Crystal system = monoclinic
Uncorrected formation energy = -2.05 eV/atom
DOS at the Fermi energy = 0.0000 states/eV per atom


(7)
## Sr2Ge5Ir3 (PBE)

Data for a relaxed structure of Sr2Ge5Ir3.

Cell and atoms, written as POSCAR:
```
Sr2Ge5Ir3
1.0
-5.1513 6.2048 3.0458
5.1513 -6.2048 3.0458
5.1513 6.2048 -3.0458
Sr Ge Ir
4 10 6
direct
0.1337 0.2322 0.3659
0.3663 0.7322 0.0985
0.6337 0.2678 0.9015
0.8663 0.7678 0.6341
0.0264 0.7500 0.2764
0.0991 0.6604 0.7595
0.2500 0.2500 0.0000
0.4009 0.1604 0.5613
0.4736 0.7500 0.7236
0.5264 0.2500 0.2764
0.5991 0.8396 0.4387
0.7500 0.7500 0.0000
0.9009 0.3396 0.2405
0.9736 0.2500 0.7236
0.1397 0.8943 0.0340
0.2500 0.7500 0.5000
0.3603 0.3943 0.7546
0.6397 0.6057 0.2454
0.7500 0.2500 0.5000
0.8603 0.1057 0.9660
```

Properties
Crystal system = orthorhombic
DOS at the Fermi energy = 0.3642 states/eV per atom
Energy of formation from the pure elements = -0.56 eV/atom


(8)
## Mg6Hg2Pb (PBE)

Data for a relaxed structure of Mg6Hg2Pb.

Cell and atoms, written as POSCAR:
```
Mg6Hg2Pb
1.0
7.8122 0.0000 0.0000
-3.9061 6.7656 0.0000
0.0000 0.0000 3.9794
Mg Hg Pb
6 2 1
direct
0.0000 0.4004 0.0000
0.0000 0.7197 0.5000
0.2803 0.2803 0.5000
0.4004 0.0000 0.0000
0.5996 0.5996 0.0000
0.7197 0.0000 0.5000
0.3333 0.6667 0.5000
0.6667 0.3333 0.5000
0.0000 0.0000 0.0000
```

Properties
Crystal system = hexagonal
DOS at the Fermi energy = 0.2528 states/eV per atom
Energy of formation from the pure elements = -0.12 eV/atom


(9)
## Rb5SeCl2O4 (PBE)

Data for a relaxed structure of Rb5SeCl2O4.

Cell and atoms, written as POSCAR:
```
Rb5SeCl2O4
1.0
8.8471 0.0000 0.0000
0.0000 5.3149 3.5113
0.0000 -5.3149 3.5113
Rb Se Cl O
5 1 2 4
direct
0.0000 0.0000 0.0000
0.2928 0.2324 0.5986
0.2928 0.5986 0.2324
0.7072 0.2324 0.5986
0.7072 0.5986 0.2324
0.5000 0.9251 0.9251
0.0000 0.4678 0.8850
0.0000 0.8850 0.4678
0.3355 0.0798 0.0798
0.5000 0.6309 0.9060
0.5000 0.9060 0.6309
0.6645 0.0798 0.0798
```

Properties
Crystal system = orthorhombic
Uncorrected formation energy = -1.41 eV/atom
DOS at the Fermi energy = 0.2520 states/eV per atom


(10)
## Y5Al6 (PBE)

Data for a relaxed structure of Y5Al6.

Cell and atoms, written as POSCAR:
```
Y5Al6
1.0
2.5131 -7.5892 0.0000
2.5131 7.5892 0.0000
0.0000 0.0000 7.0338
Y Al
5 6
direct
0.0000 0.0000 0.0000
0.3315 0.6685 0.5000
0.3346 0.6654 0.0000
0.6654 0.3346 0.0000
0.6685 0.3315 0.5000
0.1554 0.8446 0.2664
0.1554 0.8446 0.7336
0.5000 0.5000 0.2791
0.5000 0.5000 0.7209
0.8446 0.1554 0.2664
0.8446 0.1554 0.7336
```

Properties
Crystal system = orthorhombic
DOS at the Fermi energy = 0.6413 states/eV per atom
Energy of formation from the pure elements = -0.27 eV/atom


(11)
## Be2TcPd (PBE)

Data for a relaxed structure of Be2TcPd.

Cell and atoms, written as POSCAR:
```
Be2TcPd
1.0
6.0243 0.0000 0.0000
0.0000 6.0243 0.0000
0.0000 0.0000 5.3972
Be Tc Pd
8 4 4
direct
0.2419 0.2500 0.1250
0.2500 0.7419 0.3750
0.2500 0.7581 0.8750
0.2581 0.2500 0.6250
0.7419 0.7500 0.6250
0.7500 0.2419 0.8750
0.7500 0.2581 0.3750
0.7581 0.7500 0.1250
0.0000 0.0000 0.5000
0.0000 0.5000 0.7500
0.5000 0.0000 0.2500
0.5000 0.5000 0.0000
0.0000 0.0000 0.0000
0.0000 0.5000 0.2500
0.5000 0.0000 0.7500
0.5000 0.5000 0.5000
```

Properties
Crystal system = tetragonal
DOS at the Fermi energy = 0.7212 states/eV per atom
Energy of formation from the pure elements = 0.18 eV/atom


(12)
## CaYBe2 (PBE)

Data for a relaxed structure of CaYBe2.

Cell and atoms, written as POSCAR:
```
CaYBe2
1.0
3.1691 0.0000 0.0000
0.0000 3.1691 0.0000
0.0000 0.0000 8.2351
Ca Y Be
1 1 2
direct
0.0000 0.0000 0.0000
0.5000 0.5000 0.3915
0.0000 0.0000 0.6331
0.5000 0.5000 0.7382
```

Properties
Crystal system = tetragonal
DOS at the Fermi energy = 1.0450 states/eV per atom
Energy of formation from the pure elements = 0.36 eV/atom


(13)
## VPHRuS (PBE)

Data for a relaxed structure of VPHRuS.

Cell and atoms, written as POSCAR:
```
VPHRuS
1.0
4.6239 0.0000 0.0000
0.0000 3.1546 0.0000
0.0000 0.0000 8.3782
V P H Ru S
2 2 2 2 2
direct
0.0000 0.0000 0.0000
0.0000 0.5000 0.5000
0.5000 0.0000 0.0917
0.5000 0.5000 0.5917
0.0000 0.0000 0.5938
0.0000 0.5000 0.0938
0.5000 0.0000 0.3878
0.5000 0.5000 0.8878
0.0000 0.0000 0.2977
0.0000 0.5000 0.7977
```

Properties
Crystal system = orthorhombic
Total DFT energy (no corrections) = -66.34 eV for the cell shown
DOS at the Fermi energy = 0.6187 states/eV per atom


(14)
## Hf2ZnCoOs (PBE)

Data for a relaxed structure of Hf2ZnCoOs.

Cell and atoms, written as POSCAR:
```
Hf2ZnCoOs
1.0
4.9396 0.0000 0.0000
0.0000 4.9396 0.0000
0.0000 0.0000 4.7519
Hf Zn Co Os
2 1 1 1
direct
0.0000 0.5000 0.0000
0.5000 0.0000 0.0000
0.0000 0.0000 0.5000
0.5000 0.5000 0.5000
0.0000 0.0000 0.0000
```

Properties
Crystal system = tetragonal
DOS at the Fermi energy = 1.1046 states/eV per atom
Energy of formation from the pure elements = 0.81 eV/atom


(15)
## BeAl3V12 (PBE)

Data for a relaxed structure of BeAl3V12.

Cell and atoms, written as POSCAR:
```
BeAl3V12
1.0
4.7548 0.0000 0.0000
0.0000 4.7699 0.0000
0.0000 0.0000 9.4707
Be Al V
1 3 12
direct
0.0000 0.0000 0.0000
0.0000 0.0000 0.5000
0.5000 0.5000 0.2482
0.5000 0.5000 0.7518
0.0000 0.5000 0.1151
0.0000 0.5000 0.3698
0.0000 0.5000 0.6302
0.0000 0.5000 0.8849
0.2489 0.0000 0.2396
0.2489 0.0000 0.7604
0.5000 0.2329 0.0000
0.5000 0.2595 0.5000
0.5000 0.7405 0.5000
0.5000 0.7671 0.0000
0.7511 0.0000 0.2396
0.7511 0.0000 0.7604
```

Properties
Crystal system = orthorhombic
DOS at the Fermi energy = 1.6402 states/eV per atom
Energy of formation from the pure elements = -0.10 eV/atom


(16)
## CoHgH2 (PBE)

Data for a relaxed structure of CoHgH2.

Cell and atoms, written as POSCAR:
```
CoHgH2
1.0
4.1588 0.0000 0.0000
0.0000 4.1588 0.0000
0.0000 0.0000 9.2349
Co Hg H
4 4 8
direct
0.0000 0.0000 0.0000
0.0000 0.5000 0.2500
0.5000 0.0000 0.7500
0.5000 0.5000 0.5000
0.0000 0.0000 0.5000
0.0000 0.5000 0.7500
0.5000 0.0000 0.2500
0.5000 0.5000 0.0000
0.0524 0.2500 0.1250
0.2500 0.5524 0.3750
0.2500 0.9476 0.8750
0.4476 0.2500 0.6250
0.5524 0.7500 0.6250
0.7500 0.0524 0.8750
0.7500 0.4476 0.3750
0.9476 0.7500 0.1250
```

Properties
Crystal system = tetragonal
Total DFT energy (no corrections) = -50.96 eV for the cell shown
DOS at the Fermi energy = 0.2418 states/eV per atom


(17)
## CaCe2YP4 (PBE)

Data for a relaxed structure of CaCe2YP4.

Cell and atoms, written as POSCAR:
```
CaCe2YP4
1.0
7.0206 0.0000 0.0000
0.0000 4.0951 0.0000
-2.3868 0.0000 6.6961
Ca Ce Y P
1 2 1 4
direct
0.0000 0.0000 0.0000
0.5000 0.0000 0.5000
0.5000 0.5000 0.0000
0.0000 0.5000 0.5000
0.2521 0.0000 0.7457
0.2588 0.5000 0.2586
0.7412 0.5000 0.7414
0.7479 0.0000 0.2543
```

Properties
Crystal system = monoclinic
DOS at the Fermi energy = 0.9677 states/eV per atom
Energy of formation from the pure elements = -1.44 eV/atom


(18)
## LaTbHgRu (PBE)

Data for a relaxed structure of LaTbHgRu.

Cell and atoms, written as POSCAR:
```
LaTbHgRu
1.0
7.3095 0.0000 0.0000
0.0000 7.3095 0.0000
0.0000 0.0000 7.3095
La Tb Hg Ru
4 4 4 4
direct
0.0000 0.0000 0.0000
0.0000 0.5000 0.5000
0.5000 0.0000 0.5000
0.5000 0.5000 0.0000
0.0000 0.0000 0.5000
0.0000 0.5000 0.0000
0.5000 0.0000 0.0000
0.5000 0.5000 0.5000
0.2500 0.2500 0.7500
0.2500 0.7500 0.2500
0.7500 0.2500 0.2500
0.7500 0.7500 0.7500
0.2500 0.2500 0.2500
0.2500 0.7500 0.7500
0.7500 0.2500 0.7500
0.7500 0.7500 0.2500
```

Properties
Crystal system = cubic
DOS at the Fermi energy = 0.7908 states/eV per atom
Energy of formation from the pure elements = -0.28 eV/atom


(19)
## PmSm7Ho3 (PBE)

Data for a relaxed structure of PmSm7Ho3.

Cell and atoms, written as POSCAR:
```
PmSm7Ho3
1.0
6.3660 -5.6470 0.0000
6.3660 5.6470 0.0000
-2.7089 0.0000 5.2163
Pm Sm Ho
1 7 3
direct
0.0000 0.0000 0.0000
0.0000 0.0000 0.5000
0.0972 0.5087 0.8032
0.2909 0.2909 0.2922
0.4913 0.9028 0.1968
0.5087 0.0972 0.8032
0.7091 0.7091 0.7078
0.9028 0.4913 0.1968
0.2976 0.7024 0.5000
0.5000 0.5000 0.0000
0.7024 0.2976 0.5000
```

Properties
Crystal system = monoclinic
DOS at the Fermi energy = 1.4893 states/eV per atom
Energy of formation from the pure elements = 0.23 eV/atom


(20)
## Li2SmMgAu4 (PBE)

Data for a relaxed structure of Li2SmMgAu4.

Cell and atoms, written as POSCAR:
```
Li2SmMgAu4
1.0
2.2785 1.3155 8.5674
-2.2785 1.3155 8.5674
0.0000 -2.6310 8.5674
Li Sm Mg Au
2 1 1 4
direct
0.2386 0.2386 0.2386
0.7614 0.7614 0.7614
0.0000 0.0000 0.0000
0.5000 0.5000 0.5000
0.1254 0.1254 0.1254
0.3945 0.3945 0.3945
0.6055 0.6055 0.6055
0.8746 0.8746 0.8746
```

Properties
Crystal system = trigonal
DOS at the Fermi energy = 0.4082 states/eV per atom
Energy of formation from the pure elements = -0.63 eV/atom